## 1
Compound: Cu2TeI8
Source: Alexandria
Functional: GGA-PBE
Structure: optimized geometry

Cell: 8.9365 8.9365 7.3845 Å, 95.12 95.12 61.64°
With the nearest neighbours (Å) after each atom.
Sites, in units of the cell vectors:
Cu: 0.1521 0.1521 0.1352  4 I 2.55-2.61
Cu: 0.8479 0.8479 0.8648  4 I 2.55-2.61
Te: 0.0000 0.0000 0.5000  6 I 2.98-3.07
I: 0.1405 0.6894 0.7127  1 Cu 2.61
I: 0.1596 0.1596 0.7873  1 Cu 2.58
I: 0.3106 0.8595 0.2873  1 Cu 2.61
I: 0.3134 0.3134 0.0803  1 Cu 2.55
I: 0.6866 0.6866 0.9197  1 Cu 2.55
I: 0.6894 0.1405 0.7127  1 Cu 2.61
I: 0.8404 0.8404 0.2127  1 Cu 2.58
I: 0.8595 0.3106 0.2873  1 Cu 2.61

---

## 2
Compound: Cu2TeI8
Source: Alexandria
Functional: GGA-PBE
Structure: optimized geometry

Cell: 8.6980 8.6980 7.0491 Å, 101.44 101.44 91.79°
With the nearest neighbours (Å) after each atom.
Sites, in units of the cell vectors:
Cu: 0.1972 0.1972 0.1768  4 I 2.55-2.63
Cu: 0.8028 0.8028 0.8232  4 I 2.55-2.63
Te: 0.0000 0.0000 0.5000  6 I 2.95-3.08
I: 0.0644 0.7346 0.7017  1 Cu 2.63
I: 0.2281 0.2281 0.8336  1 Cu 2.55
I: 0.2654 0.9356 0.2983  1 Cu 2.63
I: 0.4215 0.4215 0.3010  1 Cu 2.61, 1 I 2.91
I: 0.5785 0.5785 0.6990  1 Cu 2.61, 1 I 2.91
I: 0.7346 0.0644 0.7017  1 Cu 2.63
I: 0.7719 0.7719 0.1664  1 Cu 2.55
I: 0.9356 0.2654 0.2983  1 Cu 2.63

---

Question: of the structures shown, which is the most stable? Reply: 2.